Entry 1:
# CsPbAu

A relaxed CsPbAu crystal (GGA-PBE, OQMD via LeMat-Bulk).

Computed properties:
As for the space-group type: F-43m (216). The total energy is -7.28 eV for the cell shown. Its mass density is 7.53 g/cm³.

Cell lengths 5.513, 5.513, 5.513 Å; angles 60.00, 60.00, 60.00 degrees
Fractional coordinates of all 3 atoms:
Au: 0.000 0.000 0.000
Cs: 0.250 0.250 0.250
Pb: 0.750 0.750 0.750



Entry 2:
# CsPbAuSe2S

A relaxed CsPbAuSe2S crystal (GGA-PBE, OQMD via LeMat-Bulk).

Computed properties:
As for the space-group type: Cmcm (63). The total energy is -42.79 eV for the cell shown. Its mass density is 6.44 g/cm³.

Cell lengths 7.353, 7.353, 11.767 Å; angles 90.00, 90.00, 143.90 degrees
Fractional coordinates of all 12 atoms:
Au: 0.073 0.927 0.250
Au: 0.927 0.073 0.750
Cs: 0.786 0.214 0.250
Cs: 0.214 0.786 0.750
Pb: 0.500 0.500 0.000
Pb: 0.500 0.500 0.500
S: 0.502 0.498 0.250
S: 0.498 0.502 0.750
Se: 0.138 0.862 0.045
Se: 0.138 0.862 0.455
Se: 0.862 0.138 0.545
Se: 0.862 0.138 0.955



Entry 3:
# CsTe2PbAuS

A relaxed CsTe2PbAuS crystal (GGA-PBE, OQMD via LeMat-Bulk).

Computed properties:
As for the space-group type: Cmcm (63). The total energy is -40.91 eV for the cell shown. Its mass density is 7.03 g/cm³.

Cell lengths 7.256, 7.256, 12.478 Å; angles 90.00, 90.00, 143.65 degrees
Fractional coordinates of all 12 atoms:
Au: 0.435 0.565 0.250
Au: 0.565 0.435 0.750
Cs: 0.707 0.293 0.250
Cs: 0.293 0.707 0.750
Pb: 0.000 0.000 0.000
Pb: 0.000 0.000 0.500
S: 0.003 0.997 0.250
S: 0.997 0.003 0.750
Te: 0.338 0.662 0.042
Te: 0.338 0.662 0.458
Te: 0.662 0.338 0.542
Te: 0.662 0.338 0.958



Entry 4:
# CsTePbAuS2

A relaxed CsTePbAuS2 crystal (GGA-PBE, OQMD via LeMat-Bulk).

Computed properties:
As for the space-group type: Cmcm (63). The total energy is -42.62 eV for the cell shown. Its mass density is 5.81 g/cm³.

Cell lengths 8.793, 8.793, 11.931 Å; angles 90.00, 90.00, 153.17 degrees
Fractional coordinates of all 12 atoms:
Au: 0.081 0.919 0.250
Au: 0.919 0.081 0.750
Cs: 0.751 0.249 0.250
Cs: 0.249 0.751 0.750
Pb: 0.500 0.500 0.000
Pb: 0.500 0.500 0.500
S: 0.109 0.891 0.058
S: 0.109 0.891 0.442
S: 0.891 0.109 0.558
S: 0.891 0.109 0.942
Te: 0.447 0.553 0.250
Te: 0.553 0.447 0.750



Entry 5:
# CsTe2PbAuSe

A relaxed CsTe2PbAuSe crystal (GGA-PBE, OQMD via LeMat-Bulk).

Computed properties:
As for the space-group type: Cmcm (63). The total energy is -39.91 eV for the cell shown. Its mass density is 7.16 g/cm³.

Cell lengths 7.305, 7.305, 12.487 Å; angles 90.00, 90.00, 142.65 degrees
Fractional coordinates of all 12 atoms:
Au: 0.920 0.080 0.250
Au: 0.080 0.920 0.750
Cs: 0.207 0.793 0.250
Cs: 0.793 0.207 0.750
Pb: 0.500 0.500 0.000
Pb: 0.500 0.500 0.500
Se: 0.502 0.498 0.250
Se: 0.498 0.502 0.750
Te: 0.843 0.157 0.043
Te: 0.843 0.157 0.457
Te: 0.157 0.843 0.543
Te: 0.157 0.843 0.957



Entry 6:
# CsPdAu

A relaxed CsPdAu crystal (GGA-PBE, OQMD via LeMat-Bulk).

Computed properties:
The value obtained for the relative energy among the computed polymorphs is 0 meV per atom. As for the space-group type: F-43m (216). The total energy is -8.41 eV for the cell shown. Its mass density is 7.91 g/cm³.

Cell lengths 5.061, 5.061, 5.061 Å; angles 60.00, 60.00, 60.00 degrees
Fractional coordinates of all 3 atoms:
Au: 0.250 0.250 0.250
Cs: 0.750 0.750 0.750
Pd: 0.000 0.000 0.000